Below is an optimized crystal structure of AgS3N, with properties calculated at the PBE level.

For the volume, the calculation gives 141.6 Å³/f.u. The formation energy without anion corrections is 376 meV per atom.

The space group is C2/c (No. 15) and the conventional cell measures 15.334, 8.488 and 10.160 Å, with angles of 90.00, 121.09 and 90.00 degrees. The distinct sites, in fractional coordinates, are Ag at (0.000, 0.049, 0.250), Ag at (0.000, 0.392, 0.250), S at (0.091, 0.446, 0.118), S at (0.136, 0.121, 0.136), S at (0.152, 0.040, 0.507) and N at (0.124, 0.294, 0.057).